one) A plane-wave DFT calculation with PBE was carried out for SiBRhCS after structural relaxation.

a = 7.443 Å, b = 3.042 Å, c = 6.833 Å
α = 90.00°, β = 113.93°, γ = 90.00°
Element x y z (fractional)
C: 0.392 0.500 0.624
S: 0.035 0.500 0.088
B: 0.183 0.000 0.102
C: 0.392 0.000 0.124
B: 0.183 0.500 0.602
Rh: 0.693 0.000 0.385
Si: 0.513 0.500 0.087
S: 0.035 0.000 0.588
Si: 0.513 0.000 0.587
Rh: 0.693 0.500 0.885

- Calculated volume: 14.14 A^3/atom
- Space-group type: Cm (8)
- Crystal system: monoclinic

=====

two) A plane-wave DFT calculation with PBE was carried out for SiBRhCS after structural relaxation.

a = 3.054 Å, b = 2.822 Å, c = 13.985 Å
α = 90.00°, β = 90.00°, γ = 90.00°
Element x y z (fractional)
Rh: 0.500 0.500 0.654
Si: 0.500 0.000 0.513
B: 0.000 0.500 0.373
Rh: 0.500 0.000 0.154
Si: 0.500 0.500 0.013
C: 0.000 0.000 0.432
S: 0.500 0.000 0.784
C: 0.000 0.500 0.932
B: 0.000 0.000 0.873
S: 0.500 0.500 0.284

- Calculated volume: 12.06 A^3/atom
- Space-group type: Amm2 (38)
- Crystal system: orthorhombic

=====

three) A plane-wave DFT calculation with PBE was carried out for SiBRhCS after structural relaxation.

a = 3.175 Å, b = 4.235 Å, c = 5.682 Å
α = 111.23°, β = 90.16°, γ = 107.16°
Element x y z (fractional)
C: 0.197 0.384 0.777
B: 0.106 0.137 0.921
Rh: 0.529 0.938 0.060
Si: 0.748 0.518 0.678
S: 0.784 0.566 0.318

- Calculated volume: 13.51 A^3/atom
- Space-group type: P1 (1)
- Crystal system: triclinic

=====

Quick look at relative energies in meV per atom: one) 82; two) 0; three) 186.

=====

one) A plane-wave DFT calculation with PBE was carried out for BRuC3 after structural relaxation.

a = 3.960 Å, b = 3.960 Å, c = 3.960 Å
α = 90.00°, β = 90.00°, γ = 90.00°
Element x y z (fractional)
C: 0.000 0.000 0.500
C: 0.000 0.500 0.000
B: 0.500 0.500 0.500
Ru: 0.000 0.000 0.000
C: 0.500 0.000 0.000

- Calculated volume: 12.42 A^3/atom
- Space-group type: Pm-3m (221)
- Crystal system: cubic

=====

two) A plane-wave DFT calculation with PBE was carried out for BRuC3 after structural relaxation.

a = 3.452 Å, b = 3.452 Å, c = 3.452 Å
α = 90.00°, β = 90.00°, γ = 90.00°
Element x y z (fractional)
B: 0.000 0.000 0.000
C: 0.500 0.000 0.000
C: 0.000 0.000 0.500
Ru: 0.500 0.500 0.500
C: 0.000 0.500 0.000

- Calculated volume: 8.23 A^3/atom
- Space-group type: Pm-3m (221)
- Crystal system: cubic

=====

Quick look at relative energies in meV per atom: one) 557; two) 0.

=====

one) A plane-wave DFT calculation with PBE was carried out for BC3S after structural relaxation.

a = 3.510 Å, b = 3.510 Å, c = 3.510 Å
α = 90.00°, β = 90.00°, γ = 90.00°
Element x y z (fractional)
S: 0.000 0.000 0.000
C: 0.000 0.500 0.000
C: 0.500 0.000 0.000
C: 0.000 0.000 0.500
B: 0.500 0.500 0.500

- Calculated volume: 8.65 A^3/atom
- Space-group type: Pm-3m (221)
- Crystal system: cubic

=====

two) A plane-wave DFT calculation with PBE was carried out for BC3S after structural relaxation.

a = 3.512 Å, b = 3.512 Å, c = 3.512 Å
α = 90.00°, β = 90.00°, γ = 90.00°
Element x y z (fractional)
B: 0.000 0.000 0.000
S: 0.500 0.500 0.500
C: 0.000 0.500 0.000
C: 0.500 0.000 0.000
C: 0.000 0.000 0.500

- Calculated volume: 8.66 A^3/atom
- Space-group type: Pm-3m (221)
- Crystal system: cubic

=====

Quick look at relative energies in meV per atom: one) 523; two) 0.